1.
Compound: TlAsSe2
Source: the Alexandria database
Functional: PBE
Structure: relaxed

a b c (Å): 8.347 8.347 8.347
angles (deg): 153.08 153.08 38.44
Element x y z (fractional)
Se  0.250  0.750  0.500
As  0.750  0.250  0.500
Tl  0.500  0.500  0.000
Se  0.000  0.000  0.000

crystal system	tetragonal
raw formation energy	0.662	eV/f.u.
theoretical density	6.10	Mg/m³


2.
Compound: Pm7Dy12Ho
Source: the Alexandria database
Functional: PBE
Structure: relaxed

a b c (Å): 8.778 8.778 8.778
angles (deg): 86.06 86.06 86.06
Element x y z (fractional)
Dy  0.853  0.253  0.728
Dy  0.497  0.617  0.134
Dy  0.253  0.728  0.853
Dy  0.728  0.853  0.253
Pm  0.500  0.500  0.500
Pm  0.922  0.846  0.602
Dy  0.747  0.272  0.147
Dy  0.617  0.134  0.497
Pm  0.078  0.154  0.398
Dy  0.866  0.503  0.383
Dy  0.147  0.747  0.272
Pm  0.602  0.922  0.846
Ho  0.000  0.000  0.000
Pm  0.154  0.398  0.078
Dy  0.134  0.497  0.617
Dy  0.272  0.147  0.747
Dy  0.503  0.383  0.866
Pm  0.398  0.078  0.154
Dy  0.383  0.866  0.503
Pm  0.846  0.602  0.922

crystal system	trigonal
distance to the lowest polymorph of the same formula	0	meV/atom
ΔE_f	0.234	eV/atom
theoretical density	7.74	Mg/m³


3.
Compound: MgUCo
Source: the Alexandria database
Functional: PBE
Structure: relaxed

a b c (Å): 4.517 5.355 12.412
angles (deg): 140.22 133.61 32.48
Last column: magnetic moment on the atom in μB.
Element x y z (fractional)
Mg  0.196  0.882  0.059  0.00
Co  0.950  0.782  0.345  -0.09
Co  0.234  0.397  0.088  -0.09
U  0.948  0.160  0.811  0.74
U  0.878  0.378  0.623  0.73
Mg  0.931  0.355  0.374  0.00

crystal system	monoclinic
ΔE_f	0.103	eV/atom
theoretical density	10.42	Mg/m³


4.
Compound: YHfCr3
Source: the Alexandria database
Functional: PBE
Structure: relaxed

a b c (Å): 4.808 4.808 4.808
angles (deg): 90.00 90.00 90.00
Last column: magnetic moment on the atom in μB.
Element x y z (fractional)
Y  0.500  0.500  0.500  -0.03
Cr  0.000  0.500  0.000  2.85
Cr  0.500  0.000  0.000  3.10
Hf  0.000  0.000  0.000  -0.17
Cr  0.000  0.000  0.500  2.50

crystal system	cubic
distance to the lowest polymorph of the same formula	0	meV/atom
ΔE_f	1.176	eV/atom
theoretical density	6.32	Mg/m³


5.
Compound: ZrPW3
Source: the Alexandria database
Functional: PBE
Structure: relaxed

a b c (Å): 4.831 4.831 4.831
angles (deg): 90.00 90.00 90.00
Element x y z (fractional)
W  0.000  0.500  0.000
P  0.500  0.500  0.500
W  0.000  0.000  0.500
W  0.500  0.000  0.000
Zr  0.000  0.000  0.000

crystal system	cubic
distance to the lowest polymorph of the same formula	2339	meV/atom
ΔE_f	2.832	eV/atom
theoretical density	9.92	Mg/m³


6.
Compound: YEr3Mg8
Source: the Alexandria database
Functional: PBE
Structure: relaxed

a b c (Å): 6.046 6.046 9.730
angles (deg): 90.00 90.00 120.00
Element x y z (fractional)
Mg  0.504  0.009  0.750
Mg  0.333  0.667  0.000
Er  0.667  0.333  0.434
Er  0.667  0.333  0.064
Y  0.000  0.000  0.565
Mg  0.333  0.667  0.500
Er  0.000  0.000  0.937
Mg  0.991  0.496  0.750
Mg  0.163  0.837  0.250
Mg  0.675  0.837  0.250
Mg  0.504  0.496  0.750
Mg  0.163  0.325  0.250

crystal system	trigonal
ΔE_f	-0.067	eV/atom
theoretical density	4.23	Mg/m³


7.
Compound: AcGa5Ir
Source: the Alexandria database
Functional: PBE
Structure: relaxed

a b c (Å): 4.516 4.516 7.240
angles (deg): 90.00 90.00 90.00
Element x y z (fractional)
Ga  0.500  0.000  0.684
Ac  0.000  0.000  0.000
Ga  0.000  0.500  0.316
Ga  0.000  0.500  0.684
Ga  0.500  0.500  0.000
Ir  0.000  0.000  0.500
Ga  0.500  0.000  0.316

crystal system	tetragonal
ΔE_f	-0.465	eV/atom
theoretical density	8.63	Mg/m³


8.
Compound: Th2GaSi
Source: the Alexandria database
Functional: PBE
Structure: relaxed

a b c (Å): 3.876 3.876 10.134
angles (deg): 78.97 78.97 60.00
Element x y z (fractional)
Si  0.500  0.500  0.500
Th  0.894  0.894  0.319
Th  0.106  0.106  0.681
Ga  0.000  0.000  0.000

crystal system	trigonal
raw formation energy	0.197	eV/f.u.
distance to the lowest polymorph of the same formula	665	meV/atom
theoretical density	7.25	Mg/m³


9.
Compound: Cu2NiC2
Source: the Alexandria database
Functional: PBE
Structure: relaxed

a b c (Å): 2.481 2.481 7.631
angles (deg): 80.64 80.64 90.00
Element x y z (fractional)
Cu  0.623  0.623  0.755
C  0.250  0.750  0.500
C  0.750  0.250  0.500
Cu  0.377  0.377  0.245
Ni  0.000  0.000  0.000

crystal system	tetragonal
distance to the lowest polymorph of the same formula	0	meV/atom
ΔE_f	1.144	eV/atom
theoretical density	7.62	Mg/m³


10.
Compound: GdNbZnRu
Source: the Alexandria database
Functional: PBE
Structure: relaxed

a b c (Å): 4.727 4.727 4.727
angles (deg): 60.00 60.00 60.00
Last column: magnetic moment on the atom in μB.
Element x y z (fractional)
Ru  0.750  0.750  0.750  -0.02
Gd  0.500  0.500  0.500  7.00
Zn  0.250  0.250  0.250  0.00
Nb  0.000  0.000  0.000  -0.06

crystal system	cubic
ΔE_f	-0.045	eV/atom
theoretical density	9.26	Mg/m³


11.
Compound: Cs2CeZn3F12
Source: the Alexandria database
Functional: PBE
Structure: relaxed

a b c (Å): 7.958 7.958 7.958
angles (deg): 56.87 56.87 56.87
Last column: magnetic moment on the atom in μB.
Element x y z (fractional)
F  0.307  0.307  0.915  0.00
F  0.915  0.915  0.341  0.00
Zn  0.000  0.000  0.500  0.00
F  0.693  0.693  0.085  0.00
F  0.341  0.915  0.915  0.00
Cs  0.599  0.599  0.599  0.00
Zn  0.500  0.000  0.000  0.00
Zn  0.000  0.500  0.000  0.00
F  0.693  0.085  0.693  0.00
F  0.307  0.915  0.307  0.00
F  0.085  0.085  0.659  0.00
Cs  0.401  0.401  0.401  0.00
F  0.085  0.693  0.693  0.00
F  0.659  0.085  0.085  0.00
F  0.085  0.659  0.085  0.00
F  0.915  0.341  0.915  0.00
F  0.915  0.307  0.307  0.00
Ce  0.000  0.000  0.000  0.09

crystal system	trigonal
raw formation energy	-51.060	eV/f.u.
theoretical density	4.17	Mg/m³


12.
Compound: LaSm6
Source: the Alexandria database
Functional: PBE
Structure: relaxed

a b c (Å): 6.661 6.661 11.225
angles (deg): 90.00 90.00 90.00
Element x y z (fractional)
Sm  0.000  0.000  0.140
Sm  0.668  0.832  0.638
Sm  0.832  0.332  0.638
Sm  0.168  0.668  0.638
Sm  0.500  0.500  0.860
La  0.500  0.000  0.000
Sm  0.500  0.500  0.140
Sm  0.668  0.168  0.362
Sm  0.332  0.168  0.638
Sm  0.000  0.000  0.860
Sm  0.832  0.668  0.362
Sm  0.168  0.332  0.362
Sm  0.332  0.832  0.362
La  0.000  0.500  0.000

crystal system	tetragonal
distance to the lowest polymorph of the same formula	0	meV/atom
ΔE_f	0.233	eV/atom
theoretical density	6.94	Mg/m³


13.
Compound: NdAl4Ni4
Source: the Alexandria database
Functional: PBE
Structure: relaxed

a b c (Å): 4.398 8.239 8.239
angles (deg): 90.00 90.00 90.00
Element x y z (fractional)
Al  0.500  0.897  0.619
Al  0.500  0.103  0.381
Nd  0.500  0.500  0.500
Al  0.000  0.603  0.881
Ni  0.000  0.687  0.188
Ni  0.500  0.312  0.187
Al  0.000  0.881  0.397
Ni  0.000  0.812  0.687
Al  0.500  0.619  0.103
Al  0.500  0.381  0.897
Ni  0.000  0.313  0.812
Al  0.000  0.397  0.119
Ni  0.000  0.188  0.313
Ni  0.500  0.688  0.813
Ni  0.500  0.813  0.312
Al  0.000  0.119  0.603
Ni  0.500  0.187  0.688
Nd  0.000  0.000  0.000

crystal system	tetragonal
ΔE_f	-0.398	eV/atom
theoretical density	5.42	Mg/m³


14.
Compound: Li3Zn2GaAg3
Source: the Alexandria database
Functional: PBE
Structure: relaxed

a b c (Å): 2.815 7.639 7.639
angles (deg): 120.00 90.00 90.00
Element x y z (fractional)
Zn  0.500  0.667  0.333
Ag  0.000  0.359  0.000
Li  0.500  0.000  0.691
Ga  0.000  0.000  0.000
Zn  0.500  0.333  0.667
Ag  0.000  0.641  0.641
Ag  0.000  0.000  0.359
Li  0.500  0.309  0.309
Li  0.500  0.691  0.000

crystal system	hexagonal
ΔE_f	-0.205	eV/atom
theoretical density	6.36	Mg/m³


15.
Compound: PuPa2BN5
Source: the Alexandria database
Functional: PBE
Structure: relaxed

a b c (Å): 6.553 6.553 6.859
angles (deg): 118.53 118.53 90.00
Last column: magnetic moment on the atom in μB.
Element x y z (fractional)
Pa  0.179  0.321  0.000  0.36
Pu  0.750  0.750  0.500  5.10
N  0.500  0.500  0.000  -0.06
N  0.284  0.784  0.298  -0.04
N  0.784  0.014  0.298  -0.04
B  0.250  0.750  0.500  0.00
Pu  0.250  0.250  0.500  5.10
N  0.000  0.000  0.000  -0.06
Pa  0.679  0.179  0.000  0.36
N  0.486  0.716  0.702  -0.04
N  0.014  0.514  0.298  -0.04
N  0.514  0.284  0.298  -0.04
Pa  0.821  0.679  0.000  0.36
B  0.750  0.250  0.500  0.00
N  0.216  0.986  0.702  -0.04
Pa  0.321  0.821  0.000  0.36
N  0.986  0.486  0.702  -0.04
N  0.716  0.216  0.702  -0.04

crystal system	tetragonal
raw formation energy	-11.536	eV/f.u.
theoretical density	12.03	Mg/m³


16.
Compound: LiAl2Ir
Source: the Alexandria database
Functional: PBE
Structure: relaxed

a b c (Å): 2.922 3.454 5.680
angles (deg): 90.00 90.00 90.00
Element x y z (fractional)
Al  0.000  0.000  0.011
Ir  0.500  0.500  0.250
Li  0.500  0.500  0.750
Al  0.000  0.000  0.489

crystal system	orthorhombic
distance to the lowest polymorph of the same formula	162	meV/atom
ΔE_f	-0.567	eV/atom
theoretical density	7.33	Mg/m³